No. 1
DFT (PBE-GGA) results for a relaxed structure of TiPSO2.

Computed properties:
The value obtained for the raw total energy is -6.54 eV per atom. The value obtained for the energy relative to the elements, uncorrected is -1.07 eV/atom.

abc: 3.6737 3.6737 5.8555
angles: 90.00 90.00 90.00
Sites, in units of the cell vectors:
1 Ti 0.0000 0.0000 0.0000
2 P 0.0000 0.0000 0.5000
3 S 0.5000 0.5000 0.5000
4 O 0.0000 0.5000 0.0000
5 O 0.5000 0.0000 0.0000


No. 2
DFT (PBE-GGA) results for a relaxed structure of Sr5Tl2.

Computed properties:
The value obtained for the energy above the most stable polymorph in this dataset is 0 meV/atom. The value obtained for the raw total energy is -2.15 eV per atom. The calculation puts the energy of formation at -6.22 kcal/mol of atoms.

abc: 10.4103 10.4103 10.4103
angles: 132.10 67.03 136.04
Sites, in units of the cell vectors:
1 Sr 0.0196 0.2500 0.7696
2 Sr 0.0834 0.6448 0.7282
3 Sr 0.2500 0.2500 0.0000
4 Sr 0.4166 0.1448 0.5614
5 Sr 0.4804 0.2500 0.2304
6 Sr 0.5196 0.7500 0.7696
7 Sr 0.5834 0.8552 0.4386
8 Sr 0.7500 0.7500 0.0000
9 Sr 0.9166 0.3552 0.2718
10 Sr 0.9804 0.7500 0.2304
11 Tl 0.1220 0.2523 0.3743
12 Tl 0.3780 0.7523 0.1304
13 Tl 0.6220 0.2477 0.8696
14 Tl 0.8780 0.7477 0.6257


No. 3
DFT (PBE-GGA) results for a relaxed structure of Nd6ZnGa2.

Computed properties:
The value obtained for the energy above the most stable polymorph in this dataset is 150 meV/atom. The value obtained for the raw total energy is -4.14 eV per atom. The calculation puts the energy of formation at -3.43 kcal/mol of atoms.

abc: 8.8220 8.8220 5.1074
angles: 106.69 106.69 48.42
Sites, in units of the cell vectors:
1 Nd 0.0837 0.5840 0.3341
2 Nd 0.2491 0.7509 0.0000
3 Nd 0.4160 0.9163 0.6659
4 Nd 0.5840 0.0837 0.3341
5 Nd 0.7509 0.2491 0.0000
6 Nd 0.9163 0.4160 0.6659
7 Zn 0.0000 0.0000 0.5000
8 Ga 0.3330 0.3330 0.8334
9 Ga 0.6670 0.6670 0.1666